Density functional theory data (GGA-PBE) for a geometry-optimized NaBe structure.

Its space-group type is P4_2/mnm. The formation enthalpy at 0 K is 1003.3 meV/atom. The calculation puts the size of the total moment at 0.0 Bohr magnetons per cell. As for the polymorph energy (0 for the lowest one): 538 meV/atom. Its total energy is -0.1117 Ry/atom.

abc: 5.628 5.628 5.660
angles: 90.00 90.00 90.00
Sites, in units of the cell vectors:
Be  0.634  0.366  0.000
Be  0.366  0.634  0.000
Be  0.866  0.866  0.500
Be  0.134  0.134  0.500
Na  0.823  0.823  0.000
Na  0.177  0.177  0.000
Na  0.323  0.677  0.500
Na  0.677  0.323  0.500

---

Density functional theory data (GGA-PBE) for a geometry-optimized NaBe structure.

Its space-group type is Fddd. The formation enthalpy at 0 K is 700.3 meV/atom. The calculation puts the size of the total moment at 0.0 Bohr magnetons per cell. As for the polymorph energy (0 for the lowest one): 235 meV/atom. Its total energy is -0.1339 Ry/atom.

abc: 8.105 13.761 5.333
angles: 90.00 90.00 90.00
Sites, in units of the cell vectors:
Na  0.917  0.250  0.750
Na  0.167  0.000  0.500
Na  0.833  0.500  0.000
Na  0.667  0.000  0.000
Na  0.583  0.250  0.750
Na  0.083  0.250  0.250
Na  0.417  0.750  0.750
Na  0.833  0.000  0.500
Na  0.333  0.500  0.500
Na  0.583  0.750  0.250
Na  0.667  0.500  0.500
Na  0.917  0.750  0.250
Na  0.417  0.250  0.250
Na  0.083  0.750  0.750
Na  0.333  0.000  0.000
Na  0.167  0.500  0.000
Be  0.250  0.170  0.750
Be  0.000  0.080  0.000
Be  0.000  0.920  0.000
Be  0.750  0.170  0.250
Be  0.250  0.670  0.250
Be  0.250  0.330  0.750
Be  0.000  0.580  0.500
Be  0.750  0.670  0.750
Be  0.750  0.330  0.250
Be  0.500  0.420  0.000
Be  0.500  0.080  0.500
Be  0.250  0.830  0.250
Be  0.750  0.830  0.750
Be  0.500  0.920  0.500
Be  0.000  0.420  0.500
Be  0.500  0.580  0.000

---

Density functional theory data (GGA-PBE) for a geometry-optimized NaBe4 structure.

Its space-group type is Pm-3m. The formation enthalpy at 0 K is 2109.6 meV/atom. The calculation puts the size of the total moment at 0.0 Bohr magnetons per cell. Its total energy is -0.0834 Ry/atom.

abc: 4.300 4.300 4.300
angles: 90.00 90.00 90.00
Sites, in units of the cell vectors:
Na  0.500  0.500  0.500
Be  0.000  0.500  0.500
Be  0.500  0.000  0.500
Be  0.500  0.500  0.000
Be  0.000  0.000  0.000